Ac3Y: optimized geometry, PBE.

Properties
**Volume**: 167 Å³ per cell
**Formation energy**: 38 meV/atom
**SG**: No. 123
**Total energy**: -4.659 eV/atom

abc: 3.9350 3.9350 10.7728
angles: 90.00 90.00 90.00
Closest atoms and distances in Å follow each position.
Element x y z (fractional)
Ac: 0.0000 0.0000 0.0000  12 Ac 3.93-3.98
Ac: 0.5000 0.5000 0.2645  4 Y 3.77, 8 Ac 3.93-3.98
Ac: 0.5000 0.5000 0.7355  4 Y 3.77, 8 Ac 3.93-3.98
Y: 0.0000 0.0000 0.5000  8 Ac 3.77, 4 Y 3.93

---

CsTaTiBe2: optimized geometry, PBE.

Properties
**Volume**: 111 Å³ per cell
**Formation energy**: 2817 meV/atom
**SG**: No. 123
**Total energy**: -2.793 eV/atom

abc: 4.5929 4.5929 5.2834
angles: 90.00 90.00 90.00
Closest atoms and distances in Å follow each position.
Element x y z (fractional)
Cs: 0.0000 0.0000 0.0000  4 Be 2.30
Ta: 0.0000 0.0000 0.5000  2 Cs 2.64
Ti: 0.5000 0.5000 0.5000  4 Ta 3.25, 8 Be 3.50
Be: 0.0000 0.5000 0.0000  2 Cs 2.30
Be: 0.5000 0.0000 0.0000  2 Cs 2.30

---

BaMnPt2: optimized geometry, PBE.

Properties
**Volume**: 434 Å³ per cell
**Formation energy**: -12 meV/atom
**SG**: No. 122
**Total energy**: -5.806 eV/atom

abc: 5.2919 5.2919 15.5065
angles: 90.00 90.00 90.00
Closest atoms and distances in Å follow each position.
Element x y z (fractional)
Ba: 0.0000 0.0000 0.0000  8 Pt 3.53-3.54, 4 Mn 3.74
Ba: 0.0000 0.5000 0.2500  8 Pt 3.53-3.54, 4 Mn 3.74
Ba: 0.5000 0.0000 0.7500  8 Pt 3.53-3.54, 4 Mn 3.74
Ba: 0.5000 0.5000 0.5000  8 Pt 3.53-3.54, 4 Mn 3.74
Mn: 0.0000 0.0000 0.5000  4 Pt 2.35
Mn: 0.0000 0.5000 0.7500  4 Pt 2.35
Mn: 0.5000 0.0000 0.2500  4 Pt 2.35
Mn: 0.5000 0.5000 0.0000  4 Pt 2.35
Pt: 0.0010 0.7500 0.6250  2 Mn 2.35
Pt: 0.2500 0.0010 0.3750  2 Mn 2.35
Pt: 0.2500 0.4990 0.8750  2 Mn 2.35
Pt: 0.4990 0.7500 0.1250  2 Mn 2.35
Pt: 0.5010 0.2500 0.1250  2 Mn 2.35
Pt: 0.7500 0.5010 0.8750  2 Mn 2.35
Pt: 0.7500 0.9990 0.3750  2 Mn 2.35
Pt: 0.9990 0.2500 0.6250  2 Mn 2.35

---

Tb12Dy3Tl: optimized geometry, PBE.

Properties
**Volume**: 499 Å³ per cell
**Formation energy**: -28 meV/atom
**SG**: No. 123
**Total energy**: -4.511 eV/atom

abc: 4.9702 4.9702 20.1955
angles: 90.00 90.00 90.00
Closest atoms and distances in Å follow each position.
Element x y z (fractional)
Tb: 0.0000 0.0000 0.0000  8 Tb 3.50, 4 Tl 3.51
Tb: 0.0000 0.0000 0.2452  4 Dy 3.52, 8 Tb 3.52-3.59
Tb: 0.0000 0.0000 0.5000  4 Dy 3.51, 8 Tb 3.56
Tb: 0.0000 0.0000 0.7548  4 Dy 3.52, 8 Tb 3.52-3.59
Tb: 0.0000 0.5000 0.1218  2 Tl 3.50, 8 Tb 3.50-3.52, 2 Dy 3.57
Tb: 0.0000 0.5000 0.3736  8 Tb 3.51-3.59, 4 Dy 3.54-3.56
Tb: 0.0000 0.5000 0.6264  8 Tb 3.51-3.59, 4 Dy 3.54-3.56
Tb: 0.0000 0.5000 0.8782  2 Tl 3.50, 8 Tb 3.50-3.52, 2 Dy 3.57
Tb: 0.5000 0.0000 0.1218  2 Tl 3.50, 8 Tb 3.50-3.52, 2 Dy 3.57
Tb: 0.5000 0.0000 0.3736  8 Tb 3.51-3.59, 4 Dy 3.54-3.56
Tb: 0.5000 0.0000 0.6264  8 Tb 3.51-3.59, 4 Dy 3.54-3.56
Tb: 0.5000 0.0000 0.8782  2 Tl 3.50, 8 Tb 3.50-3.52, 2 Dy 3.57
Dy: 0.5000 0.5000 0.2487  12 Tb 3.52-3.57
Dy: 0.5000 0.5000 0.5000  12 Tb 3.51-3.56
Dy: 0.5000 0.5000 0.7513  12 Tb 3.52-3.57
Tl: 0.5000 0.5000 0.0000  12 Tb 3.50-3.51

---

Pr4TmBi5: optimized geometry, PBE.

Properties
**Volume**: 345 Å³ per cell
**Formation energy**: -914 meV/atom
**SG**: No. 139
**Total energy**: -5.213 eV/atom

abc: 16.5741 16.5741 16.5741
angles: 164.02 164.02 22.67
Closest atoms and distances in Å follow each position.
Element x y z (fractional)
Pr: 0.0994 0.0994 0.0000  6 Bi 3.23-3.27
Pr: 0.3012 0.3012 0.0000  6 Bi 3.26-3.30
Pr: 0.6988 0.6988 0.0000  6 Bi 3.26-3.30
Pr: 0.9006 0.9006 0.0000  6 Bi 3.23-3.27
Tm: 0.5000 0.5000 0.0000  6 Bi 3.16-3.26
Bi: 0.0000 0.0000 0.0000  2 Pr 3.23, 4 Tm 3.26
Bi: 0.2001 0.2001 0.0000  6 Pr 3.26-3.29
Bi: 0.4028 0.4028 0.0000  1 Tm 3.16, 5 Pr 3.26-3.30
Bi: 0.5972 0.5972 0.0000  1 Tm 3.16, 5 Pr 3.26-3.30
Bi: 0.7999 0.7999 0.0000  6 Pr 3.26-3.29

---

Pr7BiS5: optimized geometry, PBE.

Properties
**Volume**: 700 Å³ per cell
**SG**: No. 63
**Total energy**: -6.161 eV/atom

abc: 7.0544 7.0544 24.7575
angles: 90.00 90.00 145.38
Closest atoms and distances in Å follow each position.
Element x y z (fractional)
Pr: 0.0185 0.9815 0.7500  2 S 2.83
Pr: 0.1361 0.8639 0.0371  6 S 2.85-2.93
Pr: 0.1361 0.8639 0.4629  6 S 2.85-2.93
Pr: 0.3230 0.6770 0.6708  3 S 2.84-2.86
Pr: 0.3230 0.6770 0.8292  3 S 2.84-2.86
Pr: 0.4089 0.5911 0.1096  5 S 2.88-2.98
Pr: 0.4089 0.5911 0.3904  5 S 2.88-2.98
Pr: 0.5911 0.4089 0.6096  5 S 2.88-2.98
Pr: 0.5911 0.4089 0.8904  5 S 2.88-2.98
Pr: 0.6770 0.3230 0.1708  3 S 2.84-2.86
Pr: 0.6770 0.3230 0.3292  3 S 2.84-2.86
Pr: 0.8639 0.1361 0.5371  6 S 2.85-2.93
Pr: 0.8639 0.1361 0.9629  6 S 2.85-2.93
Pr: 0.9815 0.0185 0.2500  2 S 2.83
Bi: 0.2997 0.7003 0.2500  6 Pr 3.23-3.31
Bi: 0.7003 0.2997 0.7500  6 Pr 3.23-3.31
S: 0.0437 0.9563 0.1406  6 Pr 2.83-2.88
S: 0.0437 0.9563 0.3594  6 Pr 2.83-2.88
S: 0.2256 0.7744 0.5690  6 Pr 2.84-2.95
S: 0.2256 0.7744 0.9310  6 Pr 2.84-2.95
S: 0.5000 0.5000 0.0000  6 Pr 2.93-2.98
S: 0.5000 0.5000 0.5000  6 Pr 2.93-2.98
S: 0.7744 0.2256 0.0690  6 Pr 2.84-2.95
S: 0.7744 0.2256 0.4310  6 Pr 2.84-2.95
S: 0.9563 0.0437 0.6406  6 Pr 2.83-2.88
S: 0.9563 0.0437 0.8594  6 Pr 2.83-2.88

---

Cd8As: optimized geometry, PBE.

Properties
**Volume**: 202 Å³ per cell
**Formation energy**: 49 meV/atom
**SG**: No. 139
**Total energy**: -1.281 eV/atom

abc: 7.0766 7.0766 7.0766
angles: 95.76 95.76 143.07
Closest atoms and distances in Å follow each position.
Element x y z (fractional)
Cd: 0.0000 0.3322 0.3322  1 As 3.15, 11 Cd 3.16-3.19
Cd: 0.0000 0.6678 0.6678  1 As 3.15, 11 Cd 3.16-3.19
Cd: 0.3322 0.0000 0.3322  1 As 3.15, 11 Cd 3.16-3.19
Cd: 0.3336 0.3336 0.6673  10 Cd 3.16-3.17, 2 As 3.16
Cd: 0.3336 0.6664 0.0000  10 Cd 3.16-3.17, 2 As 3.16
Cd: 0.6664 0.3336 0.0000  10 Cd 3.16-3.17, 2 As 3.16
Cd: 0.6664 0.6664 0.3327  10 Cd 3.16-3.17, 2 As 3.16
Cd: 0.6678 0.0000 0.6678  1 As 3.15, 11 Cd 3.16-3.19
As: 0.0000 0.0000 0.0000  12 Cd 3.15-3.16

---

Ta3TlO: optimized geometry, PBE.

Properties
**Volume**: 81 Å³ per cell
**Polymorph energy (0 for the lowest one)**: 0 meV/atom
**SG**: No. 221
**Total energy**: -8.819 eV/atom

abc: 4.3293 4.3293 4.3293
angles: 90.00 90.00 90.00
Closest atoms and distances in Å follow each position.
Element x y z (fractional)
Ta: 0.0000 0.0000 0.5000  2 O 2.16
Ta: 0.0000 0.5000 0.0000  2 O 2.16
Ta: 0.5000 0.0000 0.0000  2 O 2.16
Tl: 0.5000 0.5000 0.5000  12 Ta 3.06
O: 0.0000 0.0000 0.0000  6 Ta 2.16

---

Question: Look up the total energy of the seventh one.
Answer: -1.281 eV/atom